This record from Alexandria via LeMat-Bulk describes crystalline Li4Hg2Au3 at its relaxed geometry. The functional is PBE.

a b c (Å): 4.748 4.748 8.546
angles (deg): 97.89 97.89 53.70
Positions (direct):
Li1 0.013 0.013 0.340
Li2 0.341 0.341 0.109
Li3 0.659 0.659 0.891
Li4 0.987 0.987 0.660
Hg1 0.322 0.322 0.784
Hg2 0.678 0.678 0.216
Au1 0.000 0.000 0.000
Au2 0.339 0.339 0.431
Au3 0.661 0.661 0.569

The value obtained for the distance to the lowest polymorph of the same formula is 0.0 kJ/mol of atoms. The space group is No. 12. The calculation puts the formation energy at -0.423 eV/atom. The size of the total moment comes out at 0.0 μB per cell.



This record from Alexandria via LeMat-Bulk describes crystalline Li3Hg2Au4 at its relaxed geometry. The functional is PBE.

a b c (Å): 4.075 5.087 8.736
angles (deg): 74.38 76.72 66.48
Positions (direct):
Li1 0.000 0.000 0.000
Li2 0.345 0.754 0.558
Li3 0.655 0.246 0.442
Hg1 0.331 0.107 0.233
Hg2 0.669 0.893 0.767
Au1 0.008 0.331 0.656
Au2 0.334 0.442 0.891
Au3 0.666 0.558 0.109
Au4 0.992 0.669 0.344

The value obtained for the distance to the lowest polymorph of the same formula is 0.0 kJ/mol of atoms. The space group is No. 2. The calculation puts the formation energy at -0.354 eV/atom. The size of the total moment comes out at 0.0 μB per cell.



This record from Alexandria via LeMat-Bulk describes crystalline Li3HgAu5 at its relaxed geometry. The functional is PBE.

a b c (Å): 7.907 7.907 5.645
angles (deg): 90.00 90.00 120.00
Positions (direct):
Li1 0.000 0.334 0.250
Li2 0.000 0.666 0.750
Li3 0.334 0.000 0.250
Li4 0.334 0.334 0.750
Li5 0.666 0.000 0.750
Li6 0.666 0.666 0.250
Hg1 0.000 0.000 0.000
Hg2 0.000 0.000 0.500
Au1 0.000 0.340 0.750
Au2 0.000 0.660 0.250
Au3 0.333 0.667 0.000
Au4 0.333 0.667 0.500
Au5 0.340 0.000 0.750
Au6 0.340 0.340 0.250
Au7 0.660 0.000 0.250
Au8 0.660 0.660 0.750
Au9 0.667 0.333 0.000
Au10 0.667 0.333 0.500

The space group is No. 193. The calculation puts the formation energy at -0.370 eV/atom. The size of the total moment comes out at 0.0 μB per cell.



This record from Alexandria via LeMat-Bulk describes crystalline Li2HgAu2 at its relaxed geometry. The functional is PBE.

a b c (Å): 5.592 5.592 7.573
angles (deg): 108.12 108.12 50.85
Positions (direct):
Li1 0.093 0.695 0.542
Li2 0.305 0.907 0.958
Li3 0.695 0.093 0.042
Li4 0.907 0.305 0.458
Hg1 0.299 0.701 0.250
Hg2 0.701 0.299 0.750
Au1 0.104 0.520 0.850
Au2 0.480 0.896 0.650
Au3 0.520 0.104 0.350
Au4 0.896 0.480 0.150

The value obtained for the distance to the lowest polymorph of the same formula is 2.5 kJ/mol of atoms. The space group is No. 15. The calculation puts the formation energy at -0.384 eV/atom. The size of the total moment comes out at 0.0 μB per cell.



This record from Alexandria via LeMat-Bulk describes crystalline Li3Hg3Au at its relaxed geometry. The functional is PBE.

a b c (Å): 6.944 6.944 6.944
angles (deg): 67.72 67.72 67.72
Positions (direct):
Li1 0.009 0.473 0.310
Li2 0.310 0.009 0.473
Li3 0.473 0.310 0.009
Li4 0.527 0.690 0.991
Li5 0.690 0.991 0.527
Li6 0.991 0.527 0.690
Hg1 0.132 0.842 0.302
Hg2 0.158 0.698 0.868
Hg3 0.302 0.132 0.842
Hg4 0.698 0.868 0.158
Hg5 0.842 0.302 0.132
Hg6 0.868 0.158 0.698
Au1 0.390 0.390 0.390
Au2 0.610 0.610 0.610

The value obtained for the distance to the lowest polymorph of the same formula is 3.5 kJ/mol of atoms. The space group is No. 148. The calculation puts the formation energy at -0.297 eV/atom. The size of the total moment comes out at 0.0 μB per cell.



This record from Alexandria via LeMat-Bulk describes crystalline Li6HgAu3 at its relaxed geometry. The functional is PBE.

a b c (Å): 7.579 4.628 9.931
angles (deg): 90.00 110.95 90.00
Positions (direct):
Li1 0.034 0.250 0.423
Li2 0.147 0.750 0.175
Li3 0.224 0.250 0.005
Li4 0.336 0.750 0.775
Li5 0.341 0.250 0.323
Li6 0.426 0.250 0.613
Li7 0.574 0.750 0.387
Li8 0.659 0.750 0.677
Li9 0.664 0.250 0.225
Li10 0.776 0.750 0.995
Li11 0.853 0.250 0.825
Li12 0.966 0.750 0.577
Hg1 0.456 0.750 0.092
Hg2 0.544 0.250 0.908
Au1 0.040 0.750 0.870
Au2 0.130 0.250 0.711
Au3 0.275 0.750 0.478
Au4 0.725 0.250 0.522
Au5 0.870 0.750 0.289
Au6 0.960 0.250 0.130

The value obtained for the distance to the lowest polymorph of the same formula is 0.0 kJ/mol of atoms. The space group is No. 11. The calculation puts the formation energy at -0.457 eV/atom. The size of the total moment comes out at 0.0 μB per cell.



This record from Alexandria via LeMat-Bulk describes crystalline Li4HgAu3 at its relaxed geometry. The functional is PBE.

a b c (Å): 11.129 11.129 4.475
angles (deg): 101.47 101.47 15.75
Positions (direct):
Li1 0.103 0.103 0.103
Li2 0.220 0.220 0.221
Li3 0.780 0.780 0.779
Li4 0.897 0.897 0.897
Hg1 0.000 0.000 0.500
Au1 0.340 0.340 0.339
Au2 0.500 0.500 0.000
Au3 0.660 0.660 0.661

The value obtained for the distance to the lowest polymorph of the same formula is 19.4 kJ/mol of atoms. The space group is No. 12. The calculation puts the formation energy at -0.299 eV/atom. The size of the total moment comes out at 0.0 μB per cell.



This record from Alexandria via LeMat-Bulk describes crystalline Li6HgAu5 at its relaxed geometry. The functional is PBE.

a b c (Å): 4.455 6.355 6.920
angles (deg): 90.00 105.49 90.00
Positions (direct):
Li1 0.000 0.241 0.000
Li2 0.000 0.759 0.000
Li3 0.330 0.244 0.659
Li4 0.330 0.756 0.659
Li5 0.670 0.244 0.341
Li6 0.670 0.756 0.341
Hg1 0.500 0.500 0.000
Au1 0.165 0.000 0.330
Au2 0.165 0.500 0.335
Au3 0.500 0.000 0.000
Au4 0.835 0.000 0.670
Au5 0.835 0.500 0.665

The space group is No. 10. The calculation puts the formation energy at -0.515 eV/atom. The size of the total moment comes out at 0.0 μB per cell.



This record from Alexandria via LeMat-Bulk describes crystalline LiHgAu5 at its relaxed geometry. The functional is PBE.

a b c (Å): 6.273 6.273 6.273
angles (deg): 129.85 128.76 74.52
Positions (direct):
Li1 0.000 0.000 0.000
Hg1 0.219 0.719 0.500
Au1 0.217 0.464 0.753
Au2 0.494 0.994 0.500
Au3 0.712 0.464 0.247
Au4 0.743 0.495 0.752
Au5 0.743 0.991 0.248

The value obtained for the distance to the lowest polymorph of the same formula is 0.0 kJ/mol of atoms. The space group is No. 44. The calculation puts the formation energy at -0.066 eV/atom. The size of the total moment comes out at 0.0 μB per cell.



This record from Alexandria via LeMat-Bulk describes crystalline LiHgAu at its relaxed geometry. The functional is PBE.

a b c (Å): 5.227 5.227 5.227
angles (deg): 144.65 138.19 55.88
Positions (direct):
Li1 0.000 0.000 0.000
Hg1 0.328 0.328 0.000
Au1 0.640 0.640 0.000

The value obtained for the distance to the lowest polymorph of the same formula is 0.0 kJ/mol of atoms. The space group is No. 44. The calculation puts the formation energy at -0.330 eV/atom. The size of the total moment comes out at 0.0 μB per cell.



This record from Alexandria via LeMat-Bulk describes crystalline Li4Hg2Au3 at its relaxed geometry. The functional is PBE.

a b c (Å): 6.804 6.804 6.128
angles (deg): 108.94 108.94 36.13
Positions (direct):
Li1 0.040 0.040 0.321
Li2 0.274 0.274 0.665
Li3 0.726 0.726 0.335
Li4 0.960 0.960 0.679
Hg1 0.165 0.165 0.025
Hg2 0.835 0.835 0.975
Au1 0.388 0.388 0.365
Au2 0.500 0.500 0.000
Au3 0.612 0.612 0.635

The value obtained for the distance to the lowest polymorph of the same formula is 3.9 kJ/mol of atoms. The space group is No. 12. The calculation puts the formation energy at -0.382 eV/atom. The size of the total moment comes out at 0.0 μB per cell.



This record from Alexandria via LeMat-Bulk describes crystalline Li3Hg2Au4 at its relaxed geometry. The functional is PBE.

a b c (Å): 8.132 8.132 5.110
angles (deg): 96.56 96.56 73.65
Positions (direct):
Li1 0.136 0.864 0.750
Li2 0.227 0.451 0.912
Li3 0.451 0.227 0.412
Li4 0.549 0.773 0.588
Li5 0.773 0.549 0.088
Li6 0.864 0.136 0.250
Hg1 0.011 0.756 0.192
Hg2 0.244 0.989 0.308
Hg3 0.756 0.011 0.692
Hg4 0.989 0.244 0.808
Au1 0.087 0.360 0.334
Au2 0.321 0.570 0.485
Au3 0.360 0.087 0.834
Au4 0.430 0.679 0.015
Au5 0.570 0.321 0.985
Au6 0.640 0.913 0.166
Au7 0.679 0.430 0.515
Au8 0.913 0.640 0.666

The value obtained for the distance to the lowest polymorph of the same formula is 2.2 kJ/mol of atoms. The space group is No. 15. The calculation puts the formation energy at -0.332 eV/atom. The size of the total moment comes out at 0.0 μB per cell.



Question: Which value of size of the total moment does entry 10 give?
Answer: 0.0 μB per cell



Question: Look up the size of the total moment of the tenth one.
Answer: 0.0 μB per cell